# 1
The following is a PBE calculation of a geometry-optimized Co2Ge3Te3 structure, from the Open Quantum Materials Database.

Cell lengths 8.775, 8.775, 8.775 Å; angles 90.01, 89.99, 89.99 degrees
Fractional positions:
1 Ge 0.832 0.997 0.320
2 Te 0.000 0.656 0.148
3 Te 0.851 0.000 0.656
4 Ge 0.500 0.821 0.332
5 Ge 0.003 0.320 0.168
6 Co 0.251 0.249 0.745
7 Ge 0.332 0.500 0.179
8 Te 0.351 0.504 0.844
9 Ge 0.500 0.179 0.668
10 Te 0.149 0.000 0.344
11 Co 0.246 0.754 0.754
12 Te 0.504 0.156 0.351
13 Ge 0.821 0.668 0.500
14 Ge 0.179 0.332 0.500
15 Te 0.496 0.844 0.649
16 Co 0.749 0.751 0.255
17 Te 0.344 0.148 0.000
18 Te 0.656 0.852 0.000
19 Ge 0.168 0.003 0.680
20 Ge 0.680 0.168 0.997
21 Te 0.844 0.351 0.496
22 Ge 0.320 0.832 0.003
23 Te 0.000 0.344 0.851
24 Co 0.745 0.251 0.751
25 Co 0.249 0.255 0.251
26 Te 0.156 0.649 0.504
27 Co 0.255 0.749 0.249
28 Ge 0.997 0.680 0.832
29 Ge 0.668 0.500 0.821
30 Co 0.751 0.745 0.749
31 Te 0.649 0.496 0.156
32 Co 0.754 0.246 0.246

Values from the calculation:
- calculated volume (Å³ per atom) = 21.1
- crystal system = trigonal
- symmetry = R-3 (148)
- calculated total energy (eV/atom) = -4.91

# 2
The following is a PBE calculation of a geometry-optimized Gd3Mg3AlIr2 structure, from the Open Quantum Materials Database.

Cell lengths 7.369, 7.369, 4.188 Å; angles 90.00, 90.00, 120.00 degrees
Fractional positions:
1 Mg 0.748 0.000 0.500
2 Ir 0.333 0.667 0.500
3 Al 0.000 0.000 0.000
4 Gd 0.000 0.425 0.000
5 Gd 0.575 0.575 0.000
6 Mg 0.252 0.252 0.500
7 Gd 0.425 0.000 0.000
8 Mg 0.000 0.748 0.500
9 Ir 0.667 0.333 0.500

Values from the calculation:
- calculated volume (Å³ per atom) = 21.9
- crystal system = hexagonal
- symmetry = P-62m (189)
- calculated total energy (eV/atom) = -4.94